[1]
VASP calculation (PBE) on ZrTlHg after structural relaxation.

Results
SG   Immm, No. 71
Total DFT energy (no corrections)   -3.581 eV per atom
Relative energy among the computed polymorphs   129 meV per atom
Total magnetization   0.00 Bohr magnetons per cell

Unit cell a=5.5623 b=3.2083 c=8.7904 alpha=100.51 beta=108.44 gamma=90.00
Atoms (fractional coordinates):
Zr 0.1700 0.6700 0.3400
Hg 0.2469 0.5000 0.0000
Zr 0.8300 0.3300 0.6600
Hg 0.7531 0.5000 0.0000
Tl 0.3495 0.8495 0.6990
Tl 0.6505 0.1505 0.3010

=====

[2]
VASP calculation (PBE) on ZrTl2Hg after structural relaxation.

Results
SG   P2/m, No. 10
Total DFT energy (no corrections)   -3.251 eV per atom
Relative energy among the computed polymorphs   129 meV per atom
Total magnetization   0.00 Bohr magnetons per cell

Unit cell a=5.5217 b=3.1649 c=5.7242 alpha=87.60 beta=90.00 gamma=90.00
Atoms (fractional coordinates):
Tl 0.0000 0.5252 0.4939
Hg 0.5000 0.7500 0.7500
Tl 0.0000 0.9748 0.0061
Zr 0.5000 0.2500 0.2500

=====

[3]
VASP calculation (PBE) on ZrTlHg after structural relaxation.

Results
SG   I4mm, No. 107
Total DFT energy (no corrections)   -3.709 eV per atom
Relative energy among the computed polymorphs   0 meV per atom
Total magnetization   0.00 Bohr magnetons per cell

Unit cell a=6.7709 b=6.7709 c=6.7709 alpha=151.61 beta=151.61 gamma=40.58
Atoms (fractional coordinates):
Tl 0.3308 0.3308 0.0000
Hg 0.0074 0.0074 0.0000
Zr 0.6619 0.6619 0.0000

=====

[4]
VASP calculation (PBE) on Zr2TlHg after structural relaxation.

Results
SG   R-3m, No. 166
Total DFT energy (no corrections)   -4.948 eV per atom
Total magnetization   0.00 Bohr magnetons per cell

Unit cell a=10.3254 b=10.3254 c=10.3254 alpha=18.13 beta=18.13 gamma=18.13
Atoms (fractional coordinates):
Zr 0.5020 0.5020 0.5020
Tl 0.7500 0.7500 0.7500
Zr 0.9980 0.9980 0.9980
Hg 0.2500 0.2500 0.2500

=====

[5]
VASP calculation (PBE) on Zr5Tl2Hg after structural relaxation.

Results
SG   I4/mmm, No. 139
Total DFT energy (no corrections)   -6.052 eV per atom
Total magnetization   0.00 Bohr magnetons per cell

Unit cell a=4.5033 b=4.5033 c=9.4439 alpha=103.79 beta=103.79 gamma=90.00
Atoms (fractional coordinates):
Zr 0.8763 0.3763 0.7526
Tl 0.7500 0.7500 0.4999
Tl 0.2500 0.2500 0.5001
Zr 0.5000 0.5000 0.0000
Hg 0.0000 0.0000 0.0000
Zr 0.1237 0.6237 0.2474
Zr 0.3763 0.8763 0.7526
Zr 0.6237 0.1237 0.2474

=====

[6]
VASP calculation (PBE) on Zr4TlHg3 after structural relaxation.

Results
SG   Pmma, No. 51
Total DFT energy (no corrections)   -4.815 eV per atom
Total magnetization   0.00 Bohr magnetons per cell

Unit cell a=5.3148 b=6.4466 c=10.2530 alpha=90.00 beta=90.00 gamma=90.00
Atoms (fractional coordinates):
Zr 0.1241 0.7518 0.7500
Hg 0.3792 0.5000 0.2500
Zr 0.8759 0.2482 0.2500
Hg 0.6208 0.5000 0.7500
Zr 0.5000 0.7522 0.0000
Hg 0.0000 0.0000 0.0000
Zr 0.5000 0.2478 0.5000
Zr 0.5000 0.2478 0.0000
Hg 0.3736 0.0000 0.2500
Zr 0.8759 0.7518 0.2500
Zr 0.5000 0.7522 0.5000
Tl 0.0000 0.5000 0.5000
Zr 0.1241 0.2482 0.7500
Hg 0.0000 0.0000 0.5000
Hg 0.6264 0.0000 0.7500
Tl 0.0000 0.5000 0.0000

=====

[7]
VASP calculation (PBE) on ZrTlHg after structural relaxation.

Results
SG   P3m1, No. 156
Total DFT energy (no corrections)   -3.683 eV per atom
Relative energy among the computed polymorphs   26 meV per atom
Total magnetization   0.00 Bohr magnetons per cell

Unit cell a=4.8237 b=4.8237 c=3.4664 alpha=90.00 beta=90.00 gamma=120.00
Atoms (fractional coordinates):
Hg 0.0000 0.0000 0.0150
Tl 0.6667 0.3333 0.2981
Zr 0.3333 0.6667 0.6869

=====

[8]
VASP calculation (PBE) on Zr6TlHg after structural relaxation.

Results
SG   Pm-3, No. 200
Total DFT energy (no corrections)   -6.901 eV per atom
Relative energy among the computed polymorphs   0 meV per atom
Total magnetization   0.00 Bohr magnetons per cell

Unit cell a=7.9614 b=7.9620 c=5.6272 alpha=45.02 beta=45.02 gamma=60.02
Atoms (fractional coordinates):
Zr 0.2483 0.9999 0.2520
Zr 0.4999 0.2481 0.2521
Hg 0.0000 0.0000 0.0000
Zr 0.5001 0.7519 0.7479
Zr 0.9995 0.5002 0.2521
Zr 0.0005 0.4998 0.7479
Zr 0.7517 0.0001 0.7480
Tl 0.5000 0.5000 0.5000

=====

[9]
VASP calculation (PBE) on ZrTl2Hg after structural relaxation.

Results
SG   I-4m2, No. 119
Total DFT energy (no corrections)   -3.311 eV per atom
Relative energy among the computed polymorphs   69 meV per atom
Total magnetization   0.04 Bohr magnetons per cell

Unit cell a=5.9390 b=5.9390 c=5.9390 alpha=137.00 beta=137.00 gamma=62.43
Atoms (fractional coordinates):
Hg 0.7500 0.2500 0.5000
Tl 0.2500 0.7500 0.5000
Zr 0.5000 0.5000 0.0000
Tl 0.0000 0.0000 0.0000

=====

[10]
VASP calculation (PBE) on ZrTl2Hg after structural relaxation.

Results
SG   Fm-3m, No. 225
Total DFT energy (no corrections)   -3.079 eV per atom
Relative energy among the computed polymorphs   301 meV per atom
Total magnetization   0.24 Bohr magnetons per cell

Unit cell a=5.2040 b=5.2040 c=5.2040 alpha=60.00 beta=60.00 gamma=60.00
Atoms (fractional coordinates):
Zr 0.0000 0.0000 0.0000
Tl 0.7500 0.7500 0.7500
Tl 0.2500 0.2500 0.2500
Hg 0.5000 0.5000 0.5000

=====

[11]
VASP calculation (PBE) on ZrTl2Hg after structural relaxation.

Results
SG   Cmmm, No. 65
Total DFT energy (no corrections)   -3.252 eV per atom
Relative energy among the computed polymorphs   128 meV per atom
Total magnetization   0.00 Bohr magnetons per cell

Unit cell a=3.3659 b=3.3659 c=10.3736 alpha=90.00 beta=90.00 gamma=118.97
Atoms (fractional coordinates):
Tl 0.0000 0.0000 0.4960
Tl 0.0000 0.0000 0.0040
Zr 0.5000 0.5000 0.2500
Hg 0.5000 0.5000 0.7500

=====

[12]
VASP calculation (PBE) on Tm5Hg3 after structural relaxation.

Results
SG   P4/mmm, No. 123
Total DFT energy (no corrections)   -3.242 eV per atom
Total magnetization   1.91 Bohr magnetons per cell

Unit cell a=3.6110 b=3.6110 c=16.2361 alpha=90.00 beta=90.00 gamma=90.00
Atoms (fractional coordinates):
Tm 0.5000 0.5000 0.3812
Hg 0.5000 0.5000 0.8841
Hg 0.0000 0.0000 0.5000
Tm 0.0000 0.0000 0.7679
Tm 0.0000 0.0000 0.2321
Hg 0.5000 0.5000 0.1159
Tm 0.0000 0.0000 0.0000
Tm 0.5000 0.5000 0.6188

=====

[13]
VASP calculation (PBE) on TmHg5 after structural relaxation.

Results
SG   I4/mcm, No. 140
Total DFT energy (no corrections)   -1.131 eV per atom
Total magnetization   0.00 Bohr magnetons per cell

Unit cell a=7.1255 b=7.1255 c=8.1025 alpha=116.09 beta=116.09 gamma=90.00
Atoms (fractional coordinates):
Tm 0.7500 0.7500 0.5000
Hg 0.5234 0.7146 0.7380
Hg 0.2854 0.7854 0.2620
Tm 0.2500 0.2500 0.5000
Hg 0.7854 0.9766 0.2620
Hg 0.7146 0.2146 0.7380
Hg 0.4766 0.2854 0.2620
Hg 0.2146 0.0234 0.7380
Hg 0.0000 0.0000 0.0000
Hg 0.5000 0.5000 0.0000
Hg 0.9766 0.4766 0.2620
Hg 0.0234 0.5234 0.7380

=====

[14]
VASP calculation (PBE) on Tm7Hg3 after structural relaxation.

Results
SG   P6_3mc, No. 186
Total DFT energy (no corrections)   -3.457 eV per atom
Total magnetization   0.01 Bohr magnetons per cell

Unit cell a=6.5524 b=9.9507 c=9.9507 alpha=120.00 beta=90.00 gamma=90.00
Atoms (fractional coordinates):
Hg 0.3660 0.3981 0.1991
Tm 0.4262 0.1282 0.8718
Tm 0.4262 0.1282 0.2563
Tm 0.9262 0.8718 0.1282
Hg 0.3660 0.8009 0.1991
Tm 0.5700 0.3333 0.6667
Tm 0.1539 0.0622 0.5311
Tm 0.6539 0.9378 0.4689
Tm 0.4262 0.7437 0.8718
Tm 0.0700 0.6667 0.3333
Tm 0.1539 0.4689 0.9378
Hg 0.8660 0.6019 0.8009
Tm 0.1539 0.4689 0.5311
Hg 0.8660 0.1991 0.8009
Tm 0.6539 0.5311 0.4689
Tm 0.6539 0.5311 0.0622
Tm 0.9262 0.2563 0.1282
Hg 0.8660 0.1991 0.3981
Hg 0.3660 0.8009 0.6019
Tm 0.9262 0.8718 0.7437

=====

[15]
VASP calculation (PBE) on TmHg3 after structural relaxation.

Results
SG   I4/mmm, No. 139
Total DFT energy (no corrections)   -1.611 eV per atom
Total magnetization   0.00 Bohr magnetons per cell

Unit cell a=5.0773 b=5.0773 c=5.1052 alpha=119.82 beta=119.82 gamma=90.00
Atoms (fractional coordinates):
Hg 0.2500 0.7500 0.5000
Tm 0.0000 0.0000 0.0000
Hg 0.5000 0.5000 0.0000
Hg 0.7500 0.2500 0.5000

=====

[16]
VASP calculation (PBE) on Tm5Hg6 after structural relaxation.

Results
SG   Immm, No. 71
Total DFT energy (no corrections)   -2.582 eV per atom
Total magnetization   0.00 Bohr magnetons per cell

Unit cell a=5.1034 b=7.3143 c=8.9149 alpha=114.22 beta=106.64 gamma=89.98
Atoms (fractional coordinates):
Tm 0.0000 0.5000 0.0000
Hg 0.8350 0.5879 0.6699
Hg 0.1650 0.4121 0.3301
Tm 0.6567 0.1568 0.3135
Tm 0.6688 0.6688 0.3376
Hg 0.5005 0.2525 0.0000
Hg 0.1651 0.9179 0.3301
Tm 0.3432 0.8432 0.6865
Hg 0.8349 0.0821 0.6699
Tm 0.3312 0.3312 0.6624
Hg 0.4995 0.7475 0.0000

=====

[17]
VASP calculation (PBE) on TmHg6 after structural relaxation.

Results
SG   R-3m, No. 166
Total DFT energy (no corrections)   -1.016 eV per atom
Relative energy among the computed polymorphs   0 meV per atom
Total magnetization   0.00 Bohr magnetons per cell

Unit cell a=5.1357 b=5.1357 c=8.1245 alpha=71.58 beta=71.58 gamma=60.00
Atoms (fractional coordinates):
Hg 0.5766 0.5766 0.2703
Hg 0.8607 0.8607 0.4180
Hg 0.7166 0.7166 0.8503
Hg 0.4234 0.4234 0.7297
Hg 0.1393 0.1393 0.5820
Tm 0.0000 0.0000 0.0000
Hg 0.2834 0.2834 0.1497

=====

[18]
VASP calculation (PBE) on Tm3Hg4 after structural relaxation.

Results
SG   R-3m, No. 166
Total DFT energy (no corrections)   -2.417 eV per atom
Relative energy among the computed polymorphs   68 meV per atom
Total magnetization   0.00 Bohr magnetons per cell

Unit cell a=5.0390 b=5.0390 c=9.0251 alpha=73.79 beta=73.79 gamma=60.00
Atoms (fractional coordinates):
Hg 0.8731 0.8731 0.3807
Tm 0.7547 0.7547 0.7360
Tm 0.0000 0.0000 0.0000
Hg 0.3755 0.3755 0.8736
Hg 0.1269 0.1269 0.6193
Tm 0.2453 0.2453 0.2640
Hg 0.6245 0.6245 0.1264

=====

[19]
VASP calculation (PBE) on Tm13Hg2 after structural relaxation.

Results
SG   P-1, No. 2
Total DFT energy (no corrections)   -4.001 eV per atom
Total magnetization   0.00 Bohr magnetons per cell

Unit cell a=6.5512 b=8.4397 c=8.6818 alpha=113.20 beta=78.94 gamma=97.94
Atoms (fractional coordinates):
Tm 0.0000 0.0000 0.0000
Tm 0.3700 0.5898 0.3877
Tm 0.5011 0.1459 0.2041
Tm 0.6985 0.6529 0.0282
Tm 0.7514 0.9411 0.4208
Tm 0.6300 0.4102 0.6123
Tm 0.3015 0.3471 0.9718
Tm 0.8800 0.4800 0.2663
Tm 0.1200 0.5200 0.7337
Tm 0.7958 0.2314 0.8520
Tm 0.4989 0.8541 0.7959
Hg 0.0578 0.2279 0.3787
Tm 0.2486 0.0589 0.5792
Tm 0.2042 0.7686 0.1480
Hg 0.9422 0.7721 0.6213

=====

[20]
VASP calculation (PBE) on Tm4Hg after structural relaxation.

Results
SG   Pm-3m, No. 221
Total DFT energy (no corrections)   -3.337 eV per atom
Relative energy among the computed polymorphs   368 meV per atom
Total magnetization   0.00 Bohr magnetons per cell

Unit cell a=5.5769 b=5.5769 c=5.5769 alpha=90.00 beta=90.00 gamma=90.00
Atoms (fractional coordinates):
Tm 0.5000 0.0000 0.5000
Tm 0.5000 0.5000 0.0000
Tm 0.0000 0.5000 0.5000
Hg 0.5000 0.5000 0.5000
Tm 0.0000 0.0000 0.0000

=====

[21]
VASP calculation (PBE) on Tm3Hg4 after structural relaxation.

Results
SG   I-43d, No. 220
Total DFT energy (no corrections)   -2.485 eV per atom
Relative energy among the computed polymorphs   0 meV per atom
Total magnetization   0.00 Bohr magnetons per cell

Unit cell a=7.7432 b=7.7432 c=7.7432 alpha=109.47 beta=109.47 gamma=109.47
Atoms (fractional coordinates):
Tm 0.1250 0.3750 0.2500
Tm 0.6250 0.7500 0.8750
Hg 0.0000 0.0000 0.8341
Tm 0.8750 0.2500 0.6250
Hg 0.5000 0.3341 0.5000
Hg 0.1659 0.6659 0.6659
Tm 0.7500 0.6250 0.3750
Hg 0.6659 0.1659 0.1659
Tm 0.2500 0.8750 0.1250
Hg 0.8341 0.5000 0.0000
Tm 0.3750 0.1250 0.7500
Hg 0.5000 0.8341 0.5000
Hg 0.0000 0.0000 0.3341
Hg 0.3341 0.5000 0.0000

=====

[22]
VASP calculation (PBE) on Tm2Hg after structural relaxation.

Results
SG   Pnma, No. 62
Total DFT energy (no corrections)   -3.447 eV per atom
Total magnetization   0.00 Bohr magnetons per cell

Unit cell a=5.0523 b=6.9299 c=9.1011 alpha=90.00 beta=90.00 gamma=90.00
Atoms (fractional coordinates):
Tm 0.2500 0.1711 0.5749
Tm 0.2500 0.0159 0.1967
Hg 0.7500 0.2643 0.3999
Hg 0.7500 0.7643 0.1001
Tm 0.7500 0.4841 0.6967
Hg 0.2500 0.7357 0.6001
Tm 0.7500 0.9841 0.8033
Hg 0.2500 0.2357 0.8999
Tm 0.7500 0.3289 0.0749
Tm 0.7500 0.8289 0.4251
Tm 0.2500 0.5159 0.3033
Tm 0.2500 0.6711 0.9251

=====

[23]
VASP calculation (PBE) on Tm3Hg5 after structural relaxation.

Results
SG   Cmcm, No. 63
Total DFT energy (no corrections)   -2.280 eV per atom
Total magnetization   0.00 Bohr magnetons per cell

Unit cell a=6.3010 b=6.3010 c=10.0729 alpha=90.00 beta=90.00 gamma=104.77
Atoms (fractional coordinates):
Tm 0.2159 0.7841 0.5000
Hg 0.4729 0.0304 0.7500
Hg 0.0400 0.0400 0.2500
Tm 0.4457 0.4457 0.2500
Hg 0.5271 0.9696 0.2500
Hg 0.7109 0.7109 0.4757
Tm 0.7841 0.2159 0.0000
Tm 0.7841 0.2159 0.5000
Hg 0.9600 0.9600 0.7500
Hg 0.0304 0.4729 0.7500
Hg 0.9696 0.5271 0.2500
Hg 0.7109 0.7109 0.0243
Tm 0.2159 0.7841 0.0000
Tm 0.5543 0.5543 0.7500
Hg 0.2891 0.2891 0.5243
Hg 0.2891 0.2891 0.9757

=====

[24]
VASP calculation (PBE) on TmHg after structural relaxation.

Results
SG   Fm-3m, No. 225
Total DFT energy (no corrections)   -2.611 eV per atom
Total magnetization   0.00 Bohr magnetons per cell

Unit cell a=4.2898 b=4.2898 c=4.2898 alpha=60.00 beta=60.00 gamma=60.00
Atoms (fractional coordinates):
Tm 0.0000 0.0000 0.0000
Hg 0.5000 0.5000 0.5000

=====

Number 1: energy of formation from the pure elements 0.158 eV per atom. Number 2: energy of formation from the pure elements 0.144 eV per atom. Number 3: energy of formation from the pure elements 0.029 eV per atom. Number 4: energy of formation from the pure elements -0.007 eV per atom. Number 5: energy of formation from the pure elements -0.080 eV per atom. Number 6: energy of formation from the pure elements -0.132 eV per atom. Number 7: energy of formation from the pure elements 0.055 eV per atom. Number 8: energy of formation from the pure elements -0.157 eV per atom. Number 9: energy of formation from the pure elements 0.085 eV per atom. Number 10: energy of formation from the pure elements 0.316 eV per atom. Number 11: energy of formation from the pure elements 0.144 eV per atom. Number 12: energy of formation from the pure elements -0.334 eV per atom. Number 13: energy of formation from the pure elements -0.134 eV per atom. Number 14: energy of formation from the pure elements -0.237 eV per atom. Number 15: energy of formation from the pure elements -0.266 eV per atom. Number 16: energy of formation from the pure elements -0.385 eV per atom. Number 17: energy of formation from the pure elements -0.119 eV per atom. Number 18: energy of formation from the pure elements -0.329 eV per atom. Number 19: energy of formation from the pure elements -0.086 eV per atom. Number 20: energy of formation from the pure elements 0.301 eV per atom. Number 21: energy of formation from the pure elements -0.396 eV per atom. Number 22: energy of formation from the pure elements -0.366 eV per atom. Number 23: energy of formation from the pure elements -0.415 eV per atom. Number 24: energy of formation from the pure elements -0.224 eV per atom.